Here is a relaxed GdAl2Ge2 crystal from the Alexandria database. Energies are from GGA-PBE.

Calculated values
electronic total energy = -33.0 eV/f.u.
spin magnetization = 1.395 μB/atom
calculated formation energy = -2.2 eV/f.u.

abc: 4.2803 4.2803 6.7133
angles: 90.00 90.00 120.00
Space group P-3m1 (No. 164)
Asymmetric unit:
Gd1 0.0000 0.0000 0.0000 [1 per cell]
Al1 0.3333 0.6667 0.6440 [2 per cell]
Ge1 0.3333 0.6667 0.2586 [2 per cell]



Here is a relaxed GdAlGe crystal from the Alexandria database. Energies are from GGA-PBE.

Calculated values
electronic total energy = -22.1 eV/f.u.
spin magnetization = 2.513 μB/atom
calculated formation energy = 0.3 eV/f.u.

abc: 3.162 3.162 15.083
angles: 90.00 90.00 90.00
Space group I4mm (No. 107)
Asymmetric unit:
Gd1 0.000 0.000 0.000 [2 per cell]
Al1 0.000 0.000 0.802 [2 per cell]
Ge1 0.000 0.000 0.635 [2 per cell]



Here is a relaxed LaGdAlGe crystal from the Alexandria database. Energies are from GGA-PBE.

Calculated values
electronic total energy = -29.3 eV/f.u.
spin magnetization = 1.789 μB/atom
calculated formation energy = -1.9 eV/f.u.

abc: 7.411 7.411 7.411
angles: 90.00 90.00 90.00
Space group F-43m (No. 216)
Asymmetric unit:
La1 0.000 0.000 0.000 [4 per cell]
Gd1 0.000 0.000 0.500 [4 per cell]
Al1 0.250 0.250 0.750 [4 per cell]
Ge1 0.250 0.250 0.250 [4 per cell]



Here is a relaxed GdAlGe2O7 crystal from the Alexandria database. Energies are from GGA-PBE.

Calculated values
electronic total energy = -88.3 eV/f.u.
E_form (uncorrected) = -2414 meV per atom
spin magnetization = 0.635 μB/atom

abc: 7.278 6.563 12.786
angles: 90.00 117.92 90.00
Space group P2_1/c (No. 14)
Asymmetric unit:
Gd1 0.242 0.147 0.471 [4 per cell]
Al1 0.211 0.099 0.728 [4 per cell]
Ge1 0.213 0.658 0.452 [4 per cell]
Ge2 0.304 0.588 0.722 [4 per cell]
O1 0.011 0.656 0.917 [4 per cell]
O2 0.158 0.685 0.189 [4 per cell]
O3 0.209 0.054 0.867 [4 per cell]
O4 0.223 0.119 0.278 [4 per cell]
O5 0.252 0.001 0.075 [4 per cell]
O6 0.410 0.672 0.976 [4 per cell]
O7 0.423 0.118 0.693 [4 per cell]



Here is a relaxed Gd2AlH crystal from the Alexandria database. Energies are from GGA-PBE.

Calculated values
electronic total energy = -36.2 eV/f.u.
spin magnetization = 3.628 μB/atom

abc: 3.6099 3.6099 22.3270
angles: 90.00 90.00 120.00
Space group R-3m (No. 166, hexagonal axes)
Asymmetric unit:
Gd1 0.0000 0.0000 0.2308 [6 per cell]
Al1 0.0000 0.0000 0.0000 [3 per cell]
H1 0.0000 0.0000 0.5000 [3 per cell]



Here is a relaxed GdAlH3 crystal from the Alexandria database. Energies are from GGA-PBE.

Calculated values
electronic total energy = -29.6 eV/f.u.
spin magnetization = 1.372 μB/atom

abc: 4.006 4.552 6.092
angles: 90.00 109.33 90.00
Space group P2_1/m (No. 11)
Asymmetric unit:
Gd1 0.144 0.250 0.289 [2 per cell]
Al1 0.434 0.250 0.868 [2 per cell]
H1 0.073 0.750 0.145 [2 per cell]
H2 0.313 0.509 0.626 [4 per cell]



Here is a relaxed Gd3Al5H12 crystal from the Alexandria database. Energies are from GGA-PBE.

Calculated values
electronic total energy = -101.3 eV/f.u.
spin magnetization = 1.060 μB/atom

abc: 11.959 11.959 11.959
angles: 90.00 90.00 90.00
Space group Ia-3d (No. 230)
Asymmetric unit:
Gd1 0.000 0.250 0.125 [24 per cell]
Al1 0.000 0.000 0.000 [16 per cell]
Al2 0.000 0.250 0.375 [24 per cell]
H1 0.024 0.059 0.647 [96 per cell]



Here is a relaxed Gd2HfAl crystal from the Alexandria database. Energies are from GGA-PBE.

Calculated values
electronic total energy = -40.7 eV/f.u.
polymorph energy (0 for the lowest one) = 376 meV per atom
spin magnetization = 3.834 μB/atom
calculated formation energy = 1.1 eV/f.u.

abc: 3.2325 3.2325 34.3979
angles: 90.00 90.00 120.00
Space group R-3m (No. 166, hexagonal axes)
Asymmetric unit:
Gd1 0.0000 0.0000 0.0922 [6 per cell]
Hf1 0.0000 0.0000 0.0000 [3 per cell]
Al1 0.0000 0.0000 0.5000 [3 per cell]



Question: What is the formula in the eighth record?
Answer: Gd2HfAl



Question: The lowest spin magnetization belongs to which entry?
Answer: GdAlGe2O7